Entry 1:
Entry from the Alexandria database: crystalline Pa2InH3 at its relaxed geometry (PBE).

Lattice parameters (Å, degrees): 4.0544 6.7940 8.2604 54.29 75.80 72.64
Positions (direct):
Pa 0.4966 0.1991 0.8078
Pa 0.5034 0.8009 0.1922
Pa 0.8414 0.7381 0.5790
Pa 0.1586 0.2619 0.4210
In 0.8226 0.2652 0.0897
In 0.1775 0.7348 0.9103
H 0.3677 0.5905 0.6742
H 0.9999 0.3415 0.6587
H 0.6668 0.0876 0.5788
H 0.3332 0.9124 0.4212
H 0.0001 0.6585 0.3413
H 0.6323 0.4095 0.3258

electronic total energy: -65.91 eV/cell
crystal system: monoclinic
SG: C2/m, No. 12

=====

Entry 2:
Entry from the Alexandria database: crystalline Tl2CdBi2 at its relaxed geometry (PBE).

Lattice parameters (Å, degrees): 5.4002 6.5495 10.5324 90.34 75.09 66.13
Positions (direct):
Tl 0.1013 0.7360 0.0653
Tl 0.6821 0.2904 0.3325
Tl 0.8987 0.2640 0.9347
Tl 0.3179 0.7096 0.6675
Cd 0.6561 0.0726 0.6246
Cd 0.3439 0.9274 0.3754
Bi 0.6597 0.8154 0.8741
Bi 0.0329 0.3349 0.6113
Bi 0.3403 0.1846 0.1259
Bi 0.9671 0.6651 0.3887

electronic total energy: -26.81 eV/cell
crystal system: triclinic
SG: P-1, No. 2

=====

Entry 3:
Entry from the Alexandria database: crystalline Cs2Ca3LaF12 at its relaxed geometry (PBE).

Lattice parameters (Å, degrees): 8.5175 8.5175 8.5175 58.03 58.03 58.03
Site moments in Bohr magnetons follow the coordinates.
Positions (direct):
Cs 0.6008 0.6008 0.6008  0.00
Cs 0.3992 0.3992 0.3992  0.00
Ca 0.5000 0.0000 0.0000  0.00
Ca 0.0000 0.5000 0.0000  0.00
Ca 0.0000 0.0000 0.5000  0.00
La 0.0000 0.0000 0.0000  0.01
F 0.3262 0.3262 0.9119  0.14
F 0.9281 0.9281 0.3293  0.05
F 0.3293 0.9281 0.9281  0.05
F 0.9119 0.3262 0.3262  0.14
F 0.9281 0.3293 0.9281  0.05
F 0.3262 0.9119 0.3262  0.14
F 0.6738 0.6738 0.0881  0.14
F 0.0719 0.0719 0.6707  0.05
F 0.6707 0.0719 0.0719  0.05
F 0.0881 0.6738 0.6738  0.14
F 0.0719 0.6707 0.0719  0.05
F 0.6738 0.0881 0.6738  0.14

crystal system: trigonal
SG: R-3m, No. 166
energy relative to the elements, uncorrected: -331.4 kJ/mol of atoms

=====

Entry 4:
Entry from the Alexandria database: crystalline BaYZr2 at its relaxed geometry (PBE).

Lattice parameters (Å, degrees): 4.8255 4.8322 5.0714 90.00 90.00 90.00
Positions (direct):
Ba 0.5000 0.0000 0.5000
Y 0.0000 0.5000 0.5000
Zr 0.0000 0.0000 0.0000
Zr 0.5000 0.5000 0.0000

electronic total energy: -23.35 eV/cell
crystal system: tetragonal
SG: P4/mmm, No. 123

=====

Entry 5:
Entry from the Alexandria database: crystalline SbPS3 at its relaxed geometry (PBE).

Lattice parameters (Å, degrees): 8.2693 8.2693 8.2693 132.89 67.61 134.45
Positions (direct):
Sb 0.9499 0.8255 0.6245
Sb 0.2010 0.3255 0.3755
P 0.3274 0.9080 0.9194
P 0.9886 0.4080 0.0806
S 0.2270 0.3658 0.8622
S 0.2270 0.8648 0.3612
S 0.5036 0.8658 0.6388
S 0.8911 0.1943 0.1968
S 0.5036 0.3648 0.1378
S 0.9975 0.6943 0.8032

crystal system: orthorhombic
SG: Ima2, No. 46
energy relative to the elements, uncorrected: -11.1 kJ/mol of atoms

=====

Entry 6:
Entry from the Alexandria database: crystalline CsY2Os at its relaxed geometry (PBE).

Lattice parameters (Å, degrees): 5.2842 5.2842 5.2842 60.00 60.00 60.00
Positions (direct):
Cs 0.0000 0.0000 0.0000
Y 0.2500 0.2500 0.2500
Y 0.7500 0.7500 0.7500
Os 0.5000 0.5000 0.5000

electronic total energy: -22.05 eV/cell
crystal system: cubic
SG: Fm-3m, No. 225